Here is a geometry-optimized InPd6Pt structure from the Alexandria database. Energies are from PBE-GGA.

Energy relative to the lowest polymorph listed for this composition (eV/atom): 0.0000
E_tot (eV/f.u.): -41.836

Lattice parameters (Å, degrees): 4.8559 4.8559 8.0473 114.67 114.67 48.94
Fractional coordinates of all 8 atoms:
1 In 0.0000 0.0000 0.0000
2 Pd 0.2487 0.2487 0.8710
3 Pd 0.2513 0.2513 0.3776
4 Pd 0.4992 0.4992 0.2524
5 Pd 0.5008 0.5008 0.7476
6 Pd 0.7487 0.7487 0.6224
7 Pd 0.7513 0.7513 0.1290
8 Pt 0.0000 0.0000 0.5000

***

Here is a geometry-optimized ZrTaAl2 structure from the Alexandria database. Energies are from PBE-GGA.

Energy relative to the lowest polymorph listed for this composition (eV/atom): 0.0195
E_tot (eV/f.u.): -29.123

Lattice parameters (Å, degrees): 5.0697 5.0697 5.0697 131.38 131.38 71.21
Fractional coordinates of all 4 atoms:
1 Zr 0.0000 0.0000 0.0000
2 Ta 0.5000 0.5000 0.0000
3 Al 0.2500 0.7500 0.5000
4 Al 0.7500 0.2500 0.5000

***

Q: Look up the energy relative to the lowest polymorph listed for this composition of the second one.
A: 0.0195 eV/atom